(1)
# Pa2HgOs PBE-GGA optimized geometry
data_Pa2HgOs
_space_group_name_H-M_alt 'P 1'
_space_group_IT_number 1
_space_group_name_Hall 'P 1'
_cell_length_a 3.155
_cell_length_b 3.155
_cell_length_c 8.877
_cell_angle_alpha 90.00
_cell_angle_beta 90.00
_cell_angle_gamma 90.00
loop_
_atom_site_label
_atom_site_fract_x
_atom_site_fract_y
_atom_site_fract_z
_atom_site_occupancy
Pa1 0.000 0.000 0.217 1
Pa2 0.000 0.000 0.783 1
Hg1 0.500 0.500 0.500 1
Os1 0.500 0.500 0.000 1
# E above lowest polymorph, meV/atom: 0
# Symmetry: P4/mmm, No. 123
# Electronic total energy, eV per formula unit: -31.32
# ΔE_f, meV/atom: -199

---

(2)
# SmHfU2P4 PBE-GGA optimized geometry
data_SmHfU2P4
_space_group_name_H-M_alt 'P 1'
_space_group_IT_number 1
_space_group_name_Hall 'P 1'
_cell_length_a 6.754
_cell_length_b 3.890
_cell_length_c 6.821
_cell_angle_alpha 90.00
_cell_angle_beta 109.08
_cell_angle_gamma 90.00
loop_
_atom_site_label
_atom_site_fract_x
_atom_site_fract_y
_atom_site_fract_z
_atom_site_occupancy
Sm1 0.000 0.000 0.000 1
Hf1 0.500 0.500 0.000 1
U1 0.000 0.500 0.500 1
U2 0.500 0.000 0.500 1
P1 0.264 0.500 0.252 1
P2 0.265 0.000 0.757 1
P3 0.735 0.000 0.243 1
P4 0.736 0.500 0.748 1
# Symmetry: P2/m, No. 10
# Electronic total energy, eV per formula unit: -68.42
# ΔE_f, meV/atom: -1192